# 1
This record from Alexandria via LeMat-Bulk describes a relaxed structure of CaTm2Mg6. The functional is PBE.

Structure (POSCAR):
```
CaTm2Mg6
1.0
3.376 0.000 0.000
1.688 9.023 1.562
1.688 3.312 8.538
Mg Ca Tm
6 1 2
Direct
0.500 0.668 0.332
0.671 0.006 0.653
0.329 0.994 0.347
0.671 0.653 0.006
0.329 0.347 0.994
0.500 0.332 0.668
0.000 0.000 0.000
0.849 0.651 0.651
0.151 0.349 0.349
```

Values from the calculation:
- excess energy over the best structure of this formula in the dataset (meV per atom) = 47

---

# 2
This record from Alexandria via LeMat-Bulk describes a relaxed structure of CaTmMg. The functional is PBE.

Structure (POSCAR):
```
CaTmMg
1.0
-3.144 -1.157 -1.594
1.898 -2.587 -1.865
-1.938 -8.730 10.134
Mg Ca Tm
2 2 2
Direct
0.371 0.791 0.985
0.874 0.291 0.527
0.374 0.791 0.365
0.871 0.291 0.147
0.373 0.791 0.673
0.872 0.291 0.839
```

Values from the calculation:
- excess energy over the best structure of this formula in the dataset (meV per atom) = 0

---

# 3
This record from Alexandria via LeMat-Bulk describes a relaxed structure of Ca4TmMg5. The functional is PBE.

Structure (POSCAR):
```
Ca4TmMg5
1.0
3.900 0.000 0.000
0.000 3.900 0.000
0.000 0.000 19.801
Mg Ca Tm
5 4 1
Direct
0.500 0.500 0.704
0.500 0.500 0.500
0.500 0.500 0.090
0.500 0.500 0.910
0.500 0.500 0.296
0.000 0.000 0.192
0.000 0.000 0.808
0.000 0.000 0.602
0.000 0.000 0.398
0.000 0.000 0.000
```

Values from the calculation:
- E_tot (eV per atom) = -2.116

---

# 4
This record from Alexandria via LeMat-Bulk describes a relaxed structure of CaTm2Mg. The functional is PBE.

Structure (POSCAR):
```
CaTm2Mg
1.0
5.102 0.000 0.000
0.000 4.906 0.000
0.000 0.000 4.906
Mg Tm Ca
1 2 1
Direct
0.500 0.000 0.000
0.000 0.500 0.000
0.000 0.000 0.500
0.500 0.500 0.500
```

Values from the calculation:
- excess energy over the best structure of this formula in the dataset (meV per atom) = 61

---

Question: What is the formula in the third record?
Answer: Ca4TmMg5

---

Question: Which formula does entry 2 have?
Answer: CaTmMg